[1]
AcPuTlRh | the Alexandria database | PBE-GGA | optimized geometry; total energy = -28.69 eV per formula unit; energy of formation = -0.13 eV per atom
1.0
5.362 0.000 0.000
2.681 4.643 0.000
2.681 1.548 4.378
Rh Tl Ac Pu
1 1 1 1
direct
0.500 0.500 0.500
0.000 0.000 0.000
0.750 0.750 0.750
0.250 0.250 0.250

=====

[2]
HfGaOsW2 | the Alexandria database | PBE-GGA | optimized geometry; total energy = -37.02 eV per formula unit; energy of formation = 2.62 eV per atom
1.0
4.762 0.000 0.000
0.000 4.772 0.000
0.000 0.000 4.762
Os W Hf Ga
1 2 1 1
direct
0.500 0.500 0.500
0.000 0.000 0.500
0.500 0.000 0.000
0.000 0.000 0.000
0.000 0.500 0.000